Here is a PBEsol-optimized structure of LiC2N3 from Alexandria via LeMat-Bulk. Energies are from SCAN.

Unit cell a=5.357 b=5.272 c=11.346 alpha=90.00 beta=102.80 gamma=90.00
Space group P2/c (No. 13)
One atom of each set of equivalent atoms:
1 Li 0.000 0.000 0.000
2 Li 0.000 0.088 0.250
3 C 0.243 0.496 0.118
4 C 0.451 0.201 0.890
5 N 0.154 0.299 0.136
6 N 0.247 0.110 0.880
7 N 0.315 0.280 0.594

Computed properties:
raw formation energy	-137	meV per atom
crystal system	monoclinic
E_tot	-205.136	eV for the cell shown